VASP calculation (PBE-GGA) on an optimized crystal structure of HoErAgSn.

**Magnetic moment**: 0.065 Bohr magnetons per cell
**Space-group type**: No. 216
**N(E_F)**: 3.79 states/eV per cell
**DFT formation energy**: -495 meV per atom

Cell lengths 5.199, 5.199, 5.199 Å; angles 60.00, 60.00, 60.00 degrees
Element x y z (fractional)
Ag  0.750  0.750  0.750
Ho  0.500  0.500  0.500
Sn  0.250  0.250  0.250
Er  0.000  0.000  0.000